! HoGaCu, optimized geometry, DFT GGA-PBE; values from VASP
! ρ ... 8.00 g cm⁻³
! Formation enthalpy at 0 K ... -351 meV per atom
! Calculated total energy ... -4.25 eV/atom
! Calculated volume ... 20.6 Å³ per atom
&SYSTEM
  ibrav = 0, nat = 3, ntyp = 3
/
ATOMIC_SPECIES
Ho 164.93 Ho.upf
Ga 69.72 Ga.upf
Cu 63.55 Cu.upf
CELL_PARAMETERS angstrom
0.000 3.140 3.140
3.140 0.000 3.140
3.140 3.140 0.000
ATOMIC_POSITIONS angstrom
Ho 0.000 0.000 0.000
Ga 3.140 3.140 3.140
Cu 4.710 4.710 4.710

! Ho2GaCu5, optimized geometry, DFT GGA-PBE; values from VASP
! ρ ... 8.41 g cm⁻³
! Formation enthalpy at 0 K ... -107 meV per atom
! Calculated total energy ... -4.19 eV/atom
! Calculated volume ... 17.7 Å³ per atom
&SYSTEM
  ibrav = 0, nat = 8, ntyp = 3
/
ATOMIC_SPECIES
Ho 164.93 Ho.upf
Ga 69.72 Ga.upf
Cu 63.55 Cu.upf
CELL_PARAMETERS angstrom
-2.981 2.981 3.986
2.981 -2.981 3.986
2.981 2.981 -3.986
ATOMIC_POSITIONS angstrom
Ho 2.981 0.000 0.000
Ho 0.000 2.981 0.000
Ga 0.000 0.000 2.520
Cu 1.734 1.734 1.991
Cu 1.247 -1.247 5.977
Cu -1.247 1.247 5.977
Cu 1.247 1.247 5.977
Cu 0.000 0.000 7.858

! Ho2Ga3Cu4, optimized geometry, DFT GGA-PBE; values from VASP
! ρ ... 8.66 g cm⁻³
! Formation enthalpy at 0 K ... -349 meV per atom
! Calculated total energy ... -4.20 eV/atom
! Calculated volume ... 16.9 Å³ per atom
&SYSTEM
  ibrav = 0, nat = 18, ntyp = 3
/
ATOMIC_SPECIES
Ho 164.93 Ho.upf
Ga 69.72 Ga.upf
Cu 63.55 Cu.upf
CELL_PARAMETERS angstrom
2.740 -7.555 0.000
2.740 7.555 0.000
0.000 0.000 7.343
ATOMIC_POSITIONS angstrom
Ho 2.740 5.984 6.627
Ho 2.740 1.572 2.956
Ho 2.740 -1.572 4.387
Ho 2.740 -5.984 0.716
Ga 0.000 0.000 3.671
Ga 1.370 3.548 5.507
Ga 1.370 -3.548 1.836
Ga 2.740 0.000 0.000
Ga 4.111 3.548 5.507
Ga 4.111 -3.548 1.836
Cu 2.740 4.953 3.749
Cu 1.370 1.022 5.507
Cu 1.370 -1.022 1.836
Cu 2.740 2.602 0.078
Cu 2.740 -2.602 7.265
Cu 4.111 1.022 5.507
Cu 4.111 -1.022 1.836
Cu 2.740 -4.953 3.594

Question: Among the records above, which one has the highest ρ?
Answer: Ho2Ga3Cu4